DFT (PBE) results for a relaxed KCd4Pb12 crystal.

Summary:
* formation energy: 138 meV/atom
* spin magnetization: 0.00 μB/f.u.

Structure (POSCAR):
```
KCd4Pb12
1.0
-5.2348 5.2348 5.2348
5.2348 -5.2348 5.2348
5.2348 5.2348 -5.2348
K Cd Pb
1 4 12
Cartesian
0.0000 0.0000 0.0000
2.6174 2.6174 -2.6174
2.6174 -2.6174 2.6174
-2.6174 2.6174 2.6174
2.6174 2.6174 2.6174
3.6950 1.6315 0.0000
6.7745 1.6315 0.0000
5.2348 -1.5397 3.6032
3.6032 5.2348 -1.5397
1.6315 0.0000 3.6950
5.2348 1.5397 3.6032
0.0000 3.6950 1.6315
3.6032 5.2348 1.5397
1.6315 0.0000 6.7745
0.0000 6.7745 1.6315
-1.5397 3.6032 5.2348
1.5397 3.6032 5.2348
```